VASP calculation (PBE-GGA) on a geometry-optimized Hf2TlCd structure. Values from VASP.

Geometry as Quantum ESPRESSO input:
```
&SYSTEM
  ibrav = 0, nat = 4, ntyp = 3
/
ATOMIC_SPECIES
Hf 178.49 Hf.upf
Tl 204.38 Tl.upf
Cd 112.41 Cd.upf
ATOMIC_POSITIONS angstrom
Hf 0.000 0.000 7.709
Hf 0.000 0.000 23.225
Tl 0.000 0.000 0.000
Cd 0.000 0.000 15.467
CELL_PARAMETERS angstrom
1.590 0.918 10.311
-1.590 0.918 10.311
0.000 -1.836 10.311
```

***

VASP calculation (PBE-GGA) on a geometry-optimized HfTl3Cd structure. Values from VASP.

Geometry as Quantum ESPRESSO input:
```
&SYSTEM
  ibrav = 0, nat = 5, ntyp = 3
/
ATOMIC_SPECIES
Hf 178.49 Hf.upf
Tl 204.38 Tl.upf
Cd 112.41 Cd.upf
ATOMIC_POSITIONS angstrom
Hf 0.000 0.000 0.000
Tl 0.000 0.000 2.854
Tl 0.000 2.854 0.000
Tl 2.854 0.000 0.000
Cd 2.854 2.854 2.854
CELL_PARAMETERS angstrom
5.707 0.000 0.000
0.000 5.707 0.000
0.000 0.000 5.707
```

***

VASP calculation (PBE-GGA) on a geometry-optimized HfTlCd2 structure. Values from VASP.

Geometry as Quantum ESPRESSO input:
```
&SYSTEM
  ibrav = 0, nat = 4, ntyp = 3
/
ATOMIC_SPECIES
Hf 178.49 Hf.upf
Tl 204.38 Tl.upf
Cd 112.41 Cd.upf
ATOMIC_POSITIONS angstrom
Hf 0.000 0.000 0.000
Tl 3.615 3.615 3.615
Cd 1.807 1.807 1.807
Cd 5.422 5.422 5.422
CELL_PARAMETERS angstrom
0.000 3.615 3.615
3.615 0.000 3.615
3.615 3.615 0.000
```

***

VASP calculation (PBE-GGA) on a geometry-optimized TmHfTlCd structure. Values from VASP.

Geometry as Quantum ESPRESSO input:
```
&SYSTEM
  ibrav = 0, nat = 4, ntyp = 4
/
ATOMIC_SPECIES
Tm 168.93 Tm.upf
Hf 178.49 Hf.upf
Tl 204.38 Tl.upf
Cd 112.41 Cd.upf
ATOMIC_POSITIONS angstrom
Tm 0.000 0.000 0.000
Hf 3.610 3.610 3.610
Tl 1.805 1.805 1.805
Cd 5.415 5.415 5.415
CELL_PARAMETERS angstrom
0.000 3.610 3.610
3.610 0.000 3.610
3.610 3.610 0.000
```

***

VASP calculation (PBE-GGA) on a geometry-optimized HfTlCd2W structure. Values from VASP.

Geometry as Quantum ESPRESSO input:
```
&SYSTEM
  ibrav = 0, nat = 5, ntyp = 4
/
ATOMIC_SPECIES
Hf 178.49 Hf.upf
Tl 204.38 Tl.upf
Cd 112.41 Cd.upf
W 183.84 W.upf
ATOMIC_POSITIONS angstrom
Hf 0.000 0.000 0.000
Tl 2.521 2.521 2.643
Cd 0.000 2.521 2.643
Cd 2.521 0.000 2.643
W 2.521 2.521 0.000
CELL_PARAMETERS angstrom
5.042 0.000 0.000
0.000 5.042 0.000
0.000 0.000 5.286
```

***

VASP calculation (PBE-GGA) on a geometry-optimized HfZrTlCd structure. Values from VASP.

Geometry as Quantum ESPRESSO input:
```
&SYSTEM
  ibrav = 0, nat = 4, ntyp = 4
/
ATOMIC_SPECIES
Hf 178.49 Hf.upf
Zr 91.22 Zr.upf
Tl 204.38 Tl.upf
Cd 112.41 Cd.upf
ATOMIC_POSITIONS angstrom
Hf 0.000 0.000 0.000
Zr 0.000 2.216 2.240
Tl 2.210 0.000 2.240
Cd 2.210 2.216 0.000
CELL_PARAMETERS angstrom
4.420 0.000 0.000
0.000 4.433 0.000
0.000 0.000 4.480
```

***

VASP calculation (PBE-GGA) on a geometry-optimized HfZrTlCd structure. Values from VASP.

Geometry as Quantum ESPRESSO input:
```
&SYSTEM
  ibrav = 0, nat = 4, ntyp = 4
/
ATOMIC_SPECIES
Hf 178.49 Hf.upf
Zr 91.22 Zr.upf
Tl 204.38 Tl.upf
Cd 112.41 Cd.upf
ATOMIC_POSITIONS angstrom
Hf 0.000 0.000 0.000
Zr 3.541 3.541 3.541
Tl 1.770 1.770 1.770
Cd 5.311 5.311 5.311
CELL_PARAMETERS angstrom
0.000 3.541 3.541
3.541 0.000 3.541
3.541 3.541 0.000
```

***

VASP calculation (PBE-GGA) on a geometry-optimized Tm4HfCd5 structure. Values from VASP.

Geometry as Quantum ESPRESSO input:
```
&SYSTEM
  ibrav = 0, nat = 10, ntyp = 3
/
ATOMIC_SPECIES
Tm 168.93 Tm.upf
Hf 178.49 Hf.upf
Cd 112.41 Cd.upf
ATOMIC_POSITIONS angstrom
Tm 0.000 0.000 1.878
Tm 0.000 0.000 5.608
Tm 0.000 0.000 12.611
Tm 0.000 0.000 16.341
Hf 0.000 0.000 9.110
Cd 1.828 1.828 0.000
Cd 1.828 1.828 3.754
Cd 1.828 1.828 7.471
Cd 1.828 1.828 10.749
Cd 1.828 1.828 14.466
CELL_PARAMETERS angstrom
3.657 0.000 0.000
0.000 3.657 0.000
0.000 0.000 18.219
```

***

VASP calculation (PBE-GGA) on a geometry-optimized Tm2HfCd structure. Values from VASP.

Geometry as Quantum ESPRESSO input:
```
&SYSTEM
  ibrav = 0, nat = 4, ntyp = 3
/
ATOMIC_SPECIES
Tm 168.93 Tm.upf
Hf 178.49 Hf.upf
Cd 112.41 Cd.upf
ATOMIC_POSITIONS angstrom
Tm 0.000 0.000 3.162
Tm 0.000 0.000 31.824
Hf 0.000 0.000 0.000
Cd 0.000 0.000 17.493
CELL_PARAMETERS angstrom
1.616 0.933 11.662
-1.616 0.933 11.662
0.000 -1.866 11.662
```

***

VASP calculation (PBE-GGA) on a geometry-optimized Tm2HfCd structure. Values from VASP.

Geometry as Quantum ESPRESSO input:
```
&SYSTEM
  ibrav = 0, nat = 4, ntyp = 3
/
ATOMIC_SPECIES
Tm 168.93 Tm.upf
Hf 178.49 Hf.upf
Cd 112.41 Cd.upf
ATOMIC_POSITIONS angstrom
Tm 0.000 0.000 2.209
Tm 0.000 0.000 6.693
Hf 1.691 1.691 4.451
Cd 1.691 1.691 0.000
CELL_PARAMETERS angstrom
3.382 0.000 0.000
0.000 3.382 0.000
0.000 0.000 8.902
```

***

VASP calculation (PBE-GGA) on a geometry-optimized Tm2HfCd structure. Values from VASP.

Geometry as Quantum ESPRESSO input:
```
&SYSTEM
  ibrav = 0, nat = 4, ntyp = 3
/
ATOMIC_SPECIES
Tm 168.93 Tm.upf
Hf 178.49 Hf.upf
Cd 112.41 Cd.upf
ATOMIC_POSITIONS angstrom
Tm 0.000 2.720 0.000
Tm 2.720 0.000 0.000
Hf 0.000 0.000 1.713
Cd 2.720 2.720 1.713
CELL_PARAMETERS angstrom
5.439 0.000 0.000
0.000 5.439 0.000
0.000 0.000 3.425
```

***

VASP calculation (PBE-GGA) on a geometry-optimized TmHfCd4 structure. Values from VASP.

Geometry as Quantum ESPRESSO input:
```
&SYSTEM
  ibrav = 0, nat = 6, ntyp = 3
/
ATOMIC_SPECIES
Tm 168.93 Tm.upf
Hf 178.49 Hf.upf
Cd 112.41 Cd.upf
ATOMIC_POSITIONS angstrom
Tm 0.000 0.000 0.000
Hf 6.104 6.104 6.104
Cd 3.054 3.054 3.054
Cd 5.084 5.084 3.054
Cd 5.084 3.054 5.084
Cd 3.054 5.084 5.084
CELL_PARAMETERS angstrom
0.000 4.069 4.069
4.069 0.000 4.069
4.069 4.069 0.000
```

***

VASP calculation (PBE-GGA) on a geometry-optimized TmHfZnCd structure. Values from VASP.

Geometry as Quantum ESPRESSO input:
```
&SYSTEM
  ibrav = 0, nat = 4, ntyp = 4
/
ATOMIC_SPECIES
Tm 168.93 Tm.upf
Hf 178.49 Hf.upf
Zn 65.41 Zn.upf
Cd 112.41 Cd.upf
ATOMIC_POSITIONS angstrom
Tm 0.000 0.000 0.000
Hf 3.504 3.504 3.504
Zn 1.752 1.752 1.752
Cd 5.256 5.256 5.256
CELL_PARAMETERS angstrom
0.000 3.504 3.504
3.504 0.000 3.504
3.504 3.504 0.000
```

***

VASP calculation (PBE-GGA) on a geometry-optimized HfVCd3 structure. Values from VASP.

Geometry as Quantum ESPRESSO input:
```
&SYSTEM
  ibrav = 0, nat = 5, ntyp = 3
/
ATOMIC_SPECIES
Hf 178.49 Hf.upf
V 50.94 V.upf
Cd 112.41 Cd.upf
ATOMIC_POSITIONS angstrom
Hf 0.000 0.000 0.000
V 2.512 2.512 2.512
Cd 0.000 2.512 2.512
Cd 2.512 0.000 2.512
Cd 2.512 2.512 0.000
CELL_PARAMETERS angstrom
5.024 0.000 0.000
0.000 5.024 0.000
0.000 0.000 5.024
```

***

VASP calculation (PBE-GGA) on a geometry-optimized Hf2V2Cd structure. Values from VASP.

Geometry as Quantum ESPRESSO input:
```
&SYSTEM
  ibrav = 0, nat = 10, ntyp = 3
/
ATOMIC_SPECIES
Hf 178.49 Hf.upf
V 50.94 V.upf
Cd 112.41 Cd.upf
ATOMIC_POSITIONS angstrom
Hf 1.231 2.318 0.000
Hf 2.318 5.867 0.000
Hf 4.779 1.231 0.000
Hf 5.867 4.779 0.000
V 0.836 4.385 1.856
V 2.713 0.836 1.856
V 4.385 6.261 1.856
V 6.261 2.713 1.856
Cd 0.000 0.000 1.856
Cd 3.549 3.549 1.856
CELL_PARAMETERS angstrom
7.097 0.000 0.000
0.000 7.097 0.000
0.000 0.000 3.713
```

***

VASP calculation (PBE-GGA) on a geometry-optimized HfV3Cd structure. Values from VASP.

Geometry as Quantum ESPRESSO input:
```
&SYSTEM
  ibrav = 0, nat = 5, ntyp = 3
/
ATOMIC_SPECIES
Hf 178.49 Hf.upf
V 50.94 V.upf
Cd 112.41 Cd.upf
ATOMIC_POSITIONS angstrom
Hf 0.000 0.000 0.000
V 0.000 0.000 2.352
V 0.000 2.352 0.000
V 2.352 0.000 0.000
Cd 2.352 2.352 2.352
CELL_PARAMETERS angstrom
4.705 0.000 0.000
0.000 4.705 0.000
0.000 0.000 4.705
```

***

VASP calculation (PBE-GGA) on a geometry-optimized HfV3Cd structure. Values from VASP.

Geometry as Quantum ESPRESSO input:
```
&SYSTEM
  ibrav = 0, nat = 5, ntyp = 3
/
ATOMIC_SPECIES
Hf 178.49 Hf.upf
V 50.94 V.upf
Cd 112.41 Cd.upf
ATOMIC_POSITIONS angstrom
Hf 0.000 0.000 0.000
V 0.000 2.425 2.425
V 2.425 0.000 2.425
V 2.425 2.425 0.000
Cd 2.425 2.425 2.425
CELL_PARAMETERS angstrom
4.849 0.000 0.000
0.000 4.849 0.000
0.000 0.000 4.849
```

***

VASP calculation (PBE-GGA) on a geometry-optimized HfV2Cd4 structure. Values from VASP.

Geometry as Quantum ESPRESSO input:
```
&SYSTEM
  ibrav = 0, nat = 7, ntyp = 3
/
ATOMIC_SPECIES
Hf 178.49 Hf.upf
V 50.94 V.upf
Cd 112.41 Cd.upf
ATOMIC_POSITIONS angstrom
Hf 0.000 0.000 0.000
V 0.000 0.000 5.696
V 0.000 0.000 7.532
Cd 2.752 0.000 0.000
Cd 0.000 0.000 2.879
Cd 0.000 2.752 0.000
Cd 0.000 0.000 10.349
CELL_PARAMETERS angstrom
-2.752 2.752 6.614
2.752 -2.752 6.614
2.752 2.752 -6.614
```

***

VASP calculation (PBE-GGA) on a geometry-optimized HfZrVCd structure. Values from VASP.

Geometry as Quantum ESPRESSO input:
```
&SYSTEM
  ibrav = 0, nat = 4, ntyp = 4
/
ATOMIC_SPECIES
Hf 178.49 Hf.upf
Zr 91.22 Zr.upf
V 50.94 V.upf
Cd 112.41 Cd.upf
ATOMIC_POSITIONS angstrom
Hf 0.000 0.000 0.000
Zr 3.424 3.424 3.424
V 5.137 5.137 5.137
Cd 1.712 1.712 1.712
CELL_PARAMETERS angstrom
0.000 3.424 3.424
3.424 0.000 3.424
3.424 3.424 0.000
```

***

VASP calculation (PBE-GGA) on a geometry-optimized Hf2CdW2 structure. Values from VASP.

Geometry as Quantum ESPRESSO input:
```
&SYSTEM
  ibrav = 0, nat = 5, ntyp = 3
/
ATOMIC_SPECIES
Hf 178.49 Hf.upf
Cd 112.41 Cd.upf
W 183.84 W.upf
ATOMIC_POSITIONS angstrom
Hf 0.000 0.000 1.663
Hf 0.000 0.000 13.698
Cd 0.000 0.000 7.680
W 1.877 0.000 3.840
W 0.000 1.877 3.840
CELL_PARAMETERS angstrom
-1.877 1.877 7.680
1.877 -1.877 7.680
1.877 1.877 -7.680
```

***

ΔE_f list, top to bottom, in meV per atom: 121, 594, 353, -34, 1768, -29, 91, -217, 310, -117, 47, -15, -97, 1092, 152, 1528, 1710, 911, 135, 586
Uncorrected energy list, top to bottom, in eV per atom: -5.676, -2.999, -3.184, -4.461, -3.653, -5.474, -5.355, -3.458, -4.643, -5.070, -4.906, -3.029, -4.251, -3.272, -7.659, -6.117, -5.935, -3.639, -6.999, -8.760